[1]
A relaxed structure of Pr2TlSb4. Source: Alexandria, functional PBE.

a b c (Å): 4.400 4.400 11.475
angles (deg): 90.00 90.00 90.00
Fractional positions:
Sb (0.000, 0.500, 0.809)
Sb (0.500, 0.500, 0.500)
Pr (0.000, 0.500, 0.279)
Pr (0.500, 0.000, 0.721)
Sb (0.500, 0.000, 0.191)
Sb (0.000, 0.000, 0.500)
Tl (0.500, 0.500, 0.000)

Calculated values
E_form (uncorrected) in eV per atom: -0.6426
Raw total energy in eV/atom: -4.702

[2]
A relaxed structure of RbAcTiSe4. Source: Alexandria, functional PBE.

a b c (Å): 7.260 7.109 9.620
angles (deg): 90.00 107.57 90.00
Fractional positions:
Se (0.417, 0.750, 0.164)
Ti (0.215, 0.750, 0.318)
Se (0.992, 0.492, 0.278)
Ac (0.770, 0.750, 0.450)
Rb (0.721, 0.750, 0.933)
Se (0.597, 0.250, 0.432)
Se (0.008, 0.992, 0.722)
Ac (0.230, 0.250, 0.550)
Se (0.403, 0.750, 0.568)
Rb (0.279, 0.250, 0.067)
Ti (0.785, 0.250, 0.682)
Se (0.008, 0.508, 0.722)
Se (0.992, 0.008, 0.278)
Se (0.583, 0.250, 0.836)

Calculated values
E_form (uncorrected) in eV per atom: -1.5268
Raw total energy in eV/atom: -5.371

[3]
A relaxed structure of KAu2O. Source: Alexandria, functional PBE.

a b c (Å): 5.600 5.600 7.996
angles (deg): 69.50 69.50 90.00
Fractional positions:
O (0.250, 0.750, 0.500)
K (0.750, 0.250, 0.500)
Au (0.375, 0.625, 0.750)
Au (0.375, 0.125, 0.250)
O (0.500, 0.500, 0.000)
Au (0.875, 0.625, 0.750)
K (0.000, 0.000, 0.000)
Au (0.375, 0.625, 0.250)

Calculated values
E_form (uncorrected) in eV per atom: -0.1720
Raw total energy in eV/atom: -3.325

[4]
A relaxed structure of Tb6Pm4Tm. Source: Alexandria, functional PBE.

a b c (Å): 3.564 11.007 11.007
angles (deg): 120.00 90.00 90.00
Fractional positions:
Pm (0.000, 0.333, 0.667)
Tb (0.000, 0.515, 0.485)
Tb (0.500, 0.180, 0.360)
Tm (0.000, 0.000, 0.000)
Tb (0.500, 0.180, 0.820)
Tb (0.000, 0.515, 0.030)
Pm (0.500, 0.839, 0.677)
Pm (0.500, 0.839, 0.161)
Tb (0.500, 0.640, 0.820)
Pm (0.500, 0.323, 0.161)
Tb (0.000, 0.970, 0.485)

Calculated values
Raw total energy in eV/atom: -4.502
Energy relative to the lowest polymorph listed for this composition in meV/atom: 0
ΔE_f in eV per formula unit: 1.7

[5]
A relaxed structure of YHfOs3. Source: Alexandria, functional PBE.

a b c (Å): 4.818 4.818 4.818
angles (deg): 90.00 90.00 90.00
Fractional positions:
Hf (0.000, 0.000, 0.000)
Os (0.500, 0.000, 0.000)
Y (0.500, 0.500, 0.500)
Os (0.000, 0.500, 0.000)
Os (0.000, 0.000, 0.500)

Calculated values
Raw total energy in eV/atom: -8.678
Energy relative to the lowest polymorph listed for this composition in meV/atom: 0
ΔE_f in eV per formula unit: 6.7

[6]
A relaxed structure of Ag2SnPb2. Source: Alexandria, functional PBE.

a b c (Å): 5.028 8.388 8.839
angles (deg): 131.50 90.23 106.43
Fractional positions:
Ag (0.240, 0.990, 0.077)
Ag (0.747, 0.984, 0.573)
Pb (0.254, 0.514, 0.134)
Ag (0.253, 0.016, 0.427)
Ag (0.760, 0.010, 0.923)
Sn (0.258, 0.001, 0.750)
Pb (0.741, 0.484, 0.366)
Pb (0.259, 0.516, 0.634)
Pb (0.746, 0.486, 0.866)
Sn (0.742, 0.999, 0.250)

Calculated values
Raw total energy in eV/atom: -3.347
Energy relative to the lowest polymorph listed for this composition in meV/atom: 0
ΔE_f in eV per formula unit: 0.4